# Ni2TePtC

A relaxed Ni2TePtC crystal (PBE-GGA, Alexandria via LeMat-Bulk).

Unit cell a=4.8388 b=4.8388 c=3.7299 alpha=90.00 beta=90.00 gamma=90.00
Fractional positions:
Ni1 0.0000 0.5000 0.0000
Ni2 0.5000 0.0000 0.0000
Te1 0.0000 0.0000 0.5000
Pt1 0.5000 0.5000 0.0000
C1 0.5000 0.5000 0.5000

Properties
Total magnetization in μB per formula unit: 0.0
Space group: P4/mmm, No. 123
Raw formation energy in meV per atom: 933


# Mg2Sc2Si

A relaxed Mg2Sc2Si crystal (PBE-GGA, Alexandria via LeMat-Bulk).

Unit cell a=6.9985 b=6.9985 c=4.8626 alpha=90.00 beta=90.00 gamma=90.00
Fractional positions:
Mg1 0.1548 0.3452 0.0000
Mg2 0.3452 0.8452 0.0000
Mg3 0.6548 0.1548 0.0000
Mg4 0.8452 0.6548 0.0000
Sc1 0.1568 0.6568 0.5000
Sc2 0.3432 0.1568 0.5000
Sc3 0.6568 0.8432 0.5000
Sc4 0.8432 0.3432 0.5000
Si1 0.0000 0.0000 0.5000
Si2 0.5000 0.5000 0.5000

Properties
Total magnetization in μB per formula unit: 0.0
Space group: P4/mbm, No. 127
Raw formation energy in meV per atom: 14


# SrP2Pd

A relaxed SrP2Pd crystal (PBE-GGA, Alexandria via LeMat-Bulk).

Unit cell a=4.7923 b=4.7923 c=4.7923 alpha=60.00 beta=60.00 gamma=60.00
Fractional positions:
Sr1 0.0000 0.0000 0.0000
P1 0.2500 0.2500 0.2500
P2 0.7500 0.7500 0.7500
Pd1 0.5000 0.5000 0.5000

Properties
Total magnetization in μB per formula unit: 0.0
Space group: Fm-3m, No. 225
E_form in meV per atom: -126


# BaZr3Ir

A relaxed BaZr3Ir crystal (PBE-GGA, Alexandria via LeMat-Bulk).

Unit cell a=5.1504 b=5.1504 c=5.1504 alpha=90.00 beta=90.00 gamma=90.00
Fractional positions:
Ba1 0.0000 0.0000 0.0000
Zr1 0.0000 0.0000 0.5000
Zr2 0.0000 0.5000 0.0000
Zr3 0.5000 0.0000 0.0000
Ir1 0.5000 0.5000 0.5000

Properties
Total magnetization in μB per formula unit: 0.0
Space group: Pm-3m, No. 221
E_form in meV per atom: 2138
Relative energy among the computed polymorphs in meV per atom: 2022


# Ti4Sn2N

A relaxed Ti4Sn2N crystal (PBE-GGA, Alexandria via LeMat-Bulk).

Unit cell a=7.7131 b=7.7131 c=7.7131 alpha=149.11 beta=149.11 gamma=44.25
Fractional positions:
Ti1 0.0000 0.5000 0.5000
Ti2 0.1479 0.1479 0.0000
Ti3 0.5000 0.0000 0.5000
Ti4 0.8521 0.8521 0.0000
Sn1 0.3489 0.3489 0.0000
Sn2 0.6511 0.6511 0.0000
N1 0.0000 0.0000 0.0000

Properties
Total magnetization in μB per formula unit: 0.0
Space group: I4/mmm, No. 139
Raw formation energy in meV per atom: -748
Relative energy among the computed polymorphs in meV per atom: 0


# CsAg4Se3

A relaxed CsAg4Se3 crystal (PBE-GGA, Alexandria via LeMat-Bulk).

Unit cell a=4.4778 b=4.4778 c=10.5463 alpha=90.00 beta=90.00 gamma=90.00
Fractional positions:
Cs1 0.0000 0.0000 0.0000
Ag1 0.0000 0.5000 0.3364
Ag2 0.0000 0.5000 0.6636
Ag3 0.5000 0.0000 0.3364
Ag4 0.5000 0.0000 0.6636
Se1 0.0000 0.0000 0.5000
Se2 0.5000 0.5000 0.1974
Se3 0.5000 0.5000 0.8026

Properties
Total magnetization in μB per formula unit: 0.0
Space group: P4/mmm, No. 123
Raw formation energy in meV per atom: -323


# K2SnH3

A relaxed K2SnH3 crystal (PBE-GGA, Alexandria via LeMat-Bulk).

Unit cell a=7.7698 b=7.7698 c=7.0145 alpha=116.72 beta=116.72 gamma=37.47
Fractional positions:
K1 0.1535 0.1576 0.1535
K2 0.1576 0.1535 0.6535
K3 0.8424 0.8465 0.3465
K4 0.8465 0.8424 0.8465
Sn1 0.4740 0.5260 0.2500
Sn2 0.5260 0.4740 0.7500
H1 0.1608 0.8392 0.7500
H2 0.3071 0.3516 0.5772
H3 0.3516 0.3071 0.0772
H4 0.6484 0.6929 0.9228
H5 0.6929 0.6484 0.4228
H6 0.8392 0.1608 0.2500

Properties
Total magnetization in μB per formula unit: 0.0
Space group: C2/c, No. 15
Raw total energy in eV/atom: -2.775


# Tb3Y3Er8

A relaxed Tb3Y3Er8 crystal (PBE-GGA, Alexandria via LeMat-Bulk).

Unit cell a=9.5775 b=9.5775 c=9.5775 alpha=146.15 beta=111.97 gamma=78.19
Fractional positions:
Tb1 0.0000 0.0000 0.0000
Tb2 0.2953 0.0000 0.2953
Tb3 0.7047 0.0000 0.7047
Y1 0.3182 0.8182 0.5000
Y2 0.5000 0.5000 0.0000
Y3 0.6818 0.1818 0.5000
Er1 0.0545 0.3961 0.6584
Er2 0.0624 0.2215 0.8409
Er3 0.2623 0.6039 0.6584
Er4 0.3806 0.2215 0.1591
Er5 0.6194 0.7785 0.8409
Er6 0.7377 0.3961 0.3416
Er7 0.9376 0.7785 0.1591
Er8 0.9455 0.6039 0.3416

Properties
Total magnetization in μB per formula unit: 0.0
Space group: Immm, No. 71
E_form in meV per atom: 111
Relative energy among the computed polymorphs in meV per atom: 0


# TaTiTl

A relaxed TaTiTl crystal (PBE-GGA, Alexandria via LeMat-Bulk).

Unit cell a=3.0225 b=3.0237 c=14.2803 alpha=94.53 beta=94.19 gamma=106.19
Fractional positions:
Ta1 0.1830 0.1004 0.2834
Ta2 0.8170 0.8996 0.7166
Ti1 0.3298 0.2439 0.5745
Ti2 0.6702 0.7561 0.4255
Tl1 0.4985 0.3927 0.8935
Tl2 0.5015 0.6073 0.1065

Properties
Total magnetization in μB per formula unit: 0.0
Space group: P-1, No. 2
E_form in meV per atom: 286


# Na4Tm3AlO8

A relaxed Na4Tm3AlO8 crystal (PBE-GGA, Alexandria via LeMat-Bulk).

Unit cell a=6.6894 b=6.6894 c=6.6894 alpha=58.35 beta=58.35 gamma=58.35
Fractional positions:
Na1 0.0000 0.0000 0.0000
Na2 0.0000 0.5000 0.5000
Na3 0.5000 0.0000 0.5000
Na4 0.5000 0.5000 0.0000
Tm1 0.0000 0.0000 0.5000
Tm2 0.0000 0.5000 0.0000
Tm3 0.5000 0.0000 0.0000
Al1 0.5000 0.5000 0.5000
O1 0.2370 0.2370 0.2370
O2 0.2592 0.7210 0.7210
O3 0.2790 0.2790 0.7408
O4 0.2790 0.7408 0.2790
O5 0.7210 0.2592 0.7210
O6 0.7210 0.7210 0.2592
O7 0.7408 0.2790 0.2790
O8 0.7630 0.7630 0.7630

Properties
Total magnetization in μB per formula unit: 0.0
Space group: R-3m, No. 166
Raw formation energy in meV per atom: -2701


# TaTlCrI2

A relaxed TaTlCrI2 crystal (PBE-GGA, Alexandria via LeMat-Bulk).

Unit cell a=6.2836 b=6.2836 c=5.2848 alpha=90.00 beta=90.00 gamma=90.00
Fractional positions:
Ta1 0.0000 0.0000 0.0000
Tl1 0.5000 0.5000 0.5000
Cr1 0.5000 0.5000 0.0000
I1 0.0000 0.5000 0.5000
I2 0.5000 0.0000 0.5000

Properties
Total magnetization in μB per formula unit: 9.1
Space group: P4/mmm, No. 123
Raw formation energy in meV per atom: 1734


# Nd2ScZn2Pd5

A relaxed Nd2ScZn2Pd5 crystal (PBE-GGA, Alexandria via LeMat-Bulk).

Unit cell a=9.9535 b=9.9535 c=3.8372 alpha=90.00 beta=90.00 gamma=90.00
Fractional positions:
Nd1 0.1770 0.3230 0.0000
Nd2 0.3230 0.8230 0.0000
Nd3 0.6770 0.1770 0.0000
Nd4 0.8230 0.6770 0.0000
Sc1 0.0000 0.0000 0.0000
Sc2 0.5000 0.5000 0.0000
Zn1 0.1196 0.6196 0.0000
Zn2 0.3804 0.1196 0.0000
Zn3 0.6196 0.8804 0.0000
Zn4 0.8804 0.3804 0.0000
Pd1 0.0000 0.5000 0.5000
Pd2 0.0643 0.7931 0.5000
Pd3 0.2069 0.0643 0.5000
Pd4 0.2931 0.5643 0.5000
Pd5 0.4357 0.2931 0.5000
Pd6 0.5000 0.0000 0.5000
Pd7 0.5643 0.7069 0.5000
Pd8 0.7069 0.4357 0.5000
Pd9 0.7931 0.9357 0.5000
Pd10 0.9357 0.2069 0.5000

Properties
Total magnetization in μB per formula unit: 0.0
Space group: P4/mbm, No. 127
E_form in meV per atom: -721